(1)
Below is a relaxed structure of Ho, with properties calculated at the PBE level.

a = 3.532 Å, b = 3.532 Å, c = 11.352 Å
α = 90.00°, β = 90.00°, γ = 120.00°
Element x y z (fractional)
Ho1 0.000 0.000 0.000
Ho2 0.667 0.333 0.750
Ho3 0.333 0.667 0.250
Ho4 0.000 0.000 0.500

## Properties
Energy of formation in eV per atom: 0.00

(2)
Below is a relaxed structure of Th6Si2SbSe3, with properties calculated at the PBE level.

a = 4.303 Å, b = 8.551 Å, c = 9.529 Å
α = 101.44°, β = 103.05°, γ = 90.00°
Element x y z (fractional)
Th1 0.993 0.734 0.987
Th2 0.007 0.266 0.013
Th3 0.327 0.900 0.654
Si1 0.832 0.666 0.664
Se1 0.838 0.167 0.677
Th4 0.670 0.575 0.341
Si2 0.168 0.334 0.336
Se2 0.500 0.500 0.000
Th5 0.673 0.100 0.346
Th6 0.330 0.425 0.659
Se3 0.162 0.833 0.323
Sb1 0.500 0.000 0.000

## Properties
E_form (uncorrected) in eV/atom: -1.19

(3)
Below is a relaxed structure of CuTeBr, with properties calculated at the PBE level.

a = 6.747 Å, b = 3.959 Å, c = 13.983 Å
α = 90.00°, β = 109.22°, γ = 90.00°
Element x y z (fractional)
Cu1 0.124 0.000 0.308
Br1 0.366 0.500 0.396
Br2 0.366 0.000 0.896
Te1 0.705 0.000 0.227
Br3 0.181 0.500 0.648
Br4 0.181 0.000 0.148
Cu2 0.689 0.000 0.846
Cu3 0.124 0.500 0.808
Te2 0.705 0.500 0.727
Te3 0.928 0.500 0.940
Cu4 0.689 0.500 0.346
Te4 0.928 0.000 0.440

## Properties
E_form (uncorrected) in eV/atom: -0.19

(4)
Below is a relaxed structure of Mg2NCl, with properties calculated at the PBE level.

a = 3.313 Å, b = 3.313 Å, c = 6.485 Å
α = 75.20°, β = 75.20°, γ = 60.00°
Element x y z (fractional)
N1 0.667 0.667 0.998
Mg1 0.282 0.282 0.155
Mg2 0.058 0.058 0.825
Cl1 0.493 0.493 0.521

## Properties
E_form (uncorrected) in eV/atom: -1.09

(5)
Below is a relaxed structure of LaNd5Er6, with properties calculated at the PBE level.

a = 5.142 Å, b = 10.018 Å, c = 9.526 Å
α = 121.71°, β = 105.66°, γ = 90.01°
Element x y z (fractional)
Er1 0.167 0.418 0.334
Er2 0.500 0.749 0.000
Nd1 0.667 0.667 0.334
Er3 0.500 0.251 0.000
Er4 0.833 0.084 0.666
Er5 0.167 0.916 0.334
Nd2 0.668 0.168 0.335
Nd3 0.000 0.500 0.000
Nd4 0.333 0.333 0.666
Nd5 0.332 0.832 0.665
La1 0.000 0.000 0.000
Er6 0.833 0.582 0.666

## Properties
Energy of formation in eV per atom: 0.02

(6)
Below is a relaxed structure of GdC2O6, with properties calculated at the PBE level.

a = 8.635 Å, b = 8.635 Å, c = 4.894 Å
α = 90.00°, β = 90.00°, γ = 126.45°
Each line ends with the local moment (μB).
Element x y z (fractional)
O1 0.636 0.369 0.500  1.35
Gd1 0.793 0.198 0.500  6.92
O2 0.896 0.748 0.500  0.10
Gd2 0.198 0.793 0.500  6.92
O3 0.093 0.240 0.500  0.08
C1 0.967 0.414 0.000  0.00
O4 0.240 0.093 0.500  0.08
O5 0.228 0.871 0.000  0.01
O6 0.369 0.636 0.500  1.35
C2 0.890 0.890 0.500  0.02
O7 0.007 0.500 0.766  0.04
C3 0.098 0.098 0.500  0.03
O8 0.500 0.007 0.766  0.04
O9 0.871 0.228 0.000  0.01
O10 0.500 0.007 0.234  0.04
O11 0.748 0.896 0.500  0.10
C4 0.414 0.967 0.000  0.00
O12 0.007 0.500 0.234  0.04

## Properties
E_form (uncorrected) in eV/atom: -1.51

Number 1: E_tot -4.574 eV per atom, Fermi-level density of states 4.94 states/eV/cell. Number 2: E_tot -7.015 eV per atom, Fermi-level density of states 8.40 states/eV/cell. Number 3: E_tot -3.156 eV per atom, Fermi-level density of states 1.91 states/eV/cell. Number 4: E_tot -4.433 eV per atom, Fermi-level density of states 0.00 states/eV/cell. Number 5: E_tot -4.659 eV per atom, Fermi-level density of states 16.57 states/eV/cell. Number 6: E_tot -8.431 eV per atom, Fermi-level density of states 2.76 states/eV/cell.